No. 1
A relaxed structure of BaAlCuN2, computed with PBE.

Structure (extended XYZ):
```
5
Lattice="-2.9243 2.6894 -1.5630 -3.5564 -3.6416 0.3880 -0.9106 1.3111 3.9597" Properties=species:S:1:pos:R:3 pbc="T T T"
N -0.4553 0.6556 1.9798
N -1.4622 1.3447 -0.7815
Ba -1.7782 -1.8208 0.1940
Cu 0.0000 0.0000 0.0000
Al -3.6957 0.1794 1.3923
```

Output
- N(E_F) (states/eV per cell) = 2.8
- space group = P4/mmm, No. 123
- formation energy (no corrections) (meV per atom) = 1544

***

No. 2
A relaxed structure of Ba2NaAlCu, computed with PBE.

Structure (extended XYZ):
```
5
Lattice="-1.9861 5.3699 -2.7587 -5.5828 -2.7390 -1.3123 -1.7139 1.5017 4.1570" Properties=species:S:1:pos:R:3 pbc="T T T"
Na -4.6414 2.0663 0.0430
Ba -2.7914 -1.3695 -0.6561
Ba -0.9930 2.6850 -1.3794
Cu 0.0000 0.0000 0.0000
Al -0.8569 0.7508 2.0785
```

Output
- N(E_F) (states/eV per cell) = 6.9
- space group = P4/mmm, No. 123
- DFT formation energy (eV/atom) = -0.0032

***

No. 3
A relaxed structure of BaNa2AlCu, computed with PBE.

Structure (extended XYZ):
```
5
Lattice="-3.7982 -0.6554 4.1199 0.3517 -6.4250 -0.6979 4.1604 -0.1857 3.8060" Properties=species:S:1:pos:R:3 pbc="T T T"
Na 2.0802 -0.0928 1.9030
Na -1.8991 -0.3277 2.0600
Ba 0.1758 -3.2125 -0.3490
Cu 0.3570 -3.6331 3.6140
Al 0.0000 0.0000 0.0000
```

Output
- N(E_F) (states/eV per cell) = 3.8
- space group = P4/mmm, No. 123
- DFT formation energy (eV/atom) = 0.5258

***

No. 4
A relaxed structure of Ba2Al12CuNi3, computed with PBE.

Structure (extended XYZ):
```
18
Lattice="8.0663 -0.4436 -0.3147 3.5978 7.2331 -0.3147 3.5978 2.0942 6.9304" Properties=species:S:1:pos:R:3 pbc="T T T"
Ba 9.3046 5.4161 3.8416
Ba 5.9572 3.4676 2.4595
Al 6.5822 3.8314 6.2936
Al 11.6841 6.8011 1.8045
Al 9.2062 8.2084 5.8222
Al 9.5169 2.1646 1.5353
Al 11.6841 3.9514 5.8222
Al 6.5822 7.2063 1.5353
Al 8.6797 5.0523 0.0075
Al 3.5777 2.0825 4.4966
Al 6.0556 0.6752 0.4789
Al 5.7450 6.7190 4.7657
Al 3.5777 4.9322 0.4789
Al 8.6797 1.6773 4.7657
Cu 0.0000 0.0000 0.0000
Ni 4.0331 -0.2218 -0.1573
Ni 1.7989 3.6165 -0.1573
Ni 1.7989 1.0471 3.4652
```

Output
- N(E_F) (states/eV per cell) = 6.1
- space group = R-3m, No. 166
- DFT formation energy (eV/atom) = -0.0145